# 1
## Tm3In3NiAu2 (PBE-GGA)

Data for Tm3In3NiAu2 after structural relaxation.

Values from the calculation:
* total DFT energy (no corrections): -4.445 eV/atom

Lattice parameters (Å, degrees): 7.7551 7.7551 3.7296 90.00 90.00 120.00
Positions (direct):
Au 0.6667 0.3333 0.5000
Au 0.3333 0.6667 0.5000
In 0.7511 0.0000 0.5000
In 0.2489 0.2489 0.5000
In 0.0000 0.7511 0.5000
Ni 0.0000 0.0000 0.0000
Tm 0.4013 0.0000 0.0000
Tm 0.0000 0.4013 0.0000
Tm 0.5987 0.5987 0.0000



# 2
## Y3In3Ni2Au (PBE-GGA)

Data for Y3In3Ni2Au after structural relaxation.

Values from the calculation:
* total DFT energy (no corrections): -5.230 eV/atom

Lattice parameters (Å, degrees): 7.5506 7.5506 3.9311 90.00 90.00 120.00
Positions (direct):
Au 0.0000 0.0000 0.5000
In 0.2731 0.0000 0.0000
In 0.0000 0.2731 0.0000
In 0.7269 0.7269 0.0000
Ni 0.6667 0.3333 0.0000
Ni 0.3333 0.6667 0.0000
Y 0.5921 0.0000 0.5000
Y 0.4079 0.4079 0.5000
Y 0.0000 0.5921 0.5000



# 3
## InOsAu3O4 (PBE-GGA)

Data for InOsAu3O4 after structural relaxation.

Values from the calculation:
* total DFT energy (no corrections): -4.444 eV/atom

Lattice parameters (Å, degrees): 5.3011 5.3011 5.3011 90.00 90.00 90.00
Positions (direct):
Au 0.5000 0.5000 0.0000
Au 0.5000 0.0000 0.5000
Au 0.0000 0.5000 0.5000
In 0.0000 0.0000 0.0000
O 0.2288 0.2288 0.2288
O 0.7712 0.7712 0.2288
O 0.7712 0.2288 0.7712
O 0.2288 0.7712 0.7712
Os 0.5000 0.5000 0.5000



# 4
## InOsAuO3 (PBE-GGA)

Data for InOsAuO3 after structural relaxation.

Values from the calculation:
* total DFT energy (no corrections): -5.723 eV/atom

Lattice parameters (Å, degrees): 3.2714 9.6214 10.4058 90.00 90.00 90.00
Positions (direct):
Au 0.7500 0.3910 0.0310
Au 0.2500 0.8910 0.4690
Au 0.7500 0.1090 0.5310
Au 0.2500 0.6090 0.9690
In 0.2500 0.4427 0.2377
In 0.7500 0.9427 0.2623
In 0.2500 0.0573 0.7377
In 0.7500 0.5573 0.7623
O 0.2500 0.9518 0.0799
O 0.7500 0.7602 0.1332
O 0.7500 0.1459 0.1534
O 0.2500 0.6459 0.3466
O 0.2500 0.2602 0.3668
O 0.7500 0.4518 0.4201
O 0.2500 0.5482 0.5799
O 0.7500 0.7398 0.6332
O 0.7500 0.3541 0.6534
O 0.2500 0.8541 0.8466
O 0.2500 0.2398 0.8668
O 0.7500 0.0482 0.9201
Os 0.2500 0.1460 0.0251
Os 0.7500 0.6460 0.4749
Os 0.2500 0.3540 0.5251
Os 0.7500 0.8540 0.9749



# 5
## InPbAuO3 (PBE-GGA)

Data for InPbAuO3 after structural relaxation.

Values from the calculation:
* total DFT energy (no corrections): -5.005 eV/atom

Lattice parameters (Å, degrees): 3.3034 10.1852 12.2517 90.00 90.00 90.00
Positions (direct):
Au 0.7500 0.4483 0.1234
Au 0.2500 0.9483 0.3766
Au 0.7500 0.0517 0.6234
Au 0.2500 0.5517 0.8766
In 0.7500 0.1034 0.2049
In 0.2500 0.6034 0.2951
In 0.7500 0.3966 0.7049
In 0.2500 0.8966 0.7951
O 0.7500 0.2554 0.0821
O 0.2500 0.0178 0.1108
O 0.7500 0.6394 0.1823
O 0.2500 0.1394 0.3177
O 0.7500 0.5178 0.3892
O 0.2500 0.7554 0.4179
O 0.7500 0.2446 0.5821
O 0.2500 0.4822 0.6108
O 0.7500 0.8606 0.6823
O 0.2500 0.3606 0.8177
O 0.7500 0.9822 0.8892
O 0.2500 0.7446 0.9179
Pb 0.7500 0.8257 0.0425
Pb 0.2500 0.3257 0.4575
Pb 0.7500 0.6743 0.5425
Pb 0.2500 0.1743 0.9575



# 6
## InPdAuO3 (PBE-GGA)

Data for InPdAuO3 after structural relaxation.

Values from the calculation:
* total DFT energy (no corrections): -4.849 eV/atom

Lattice parameters (Å, degrees): 3.1092 9.2564 11.7870 90.00 90.00 90.00
Positions (direct):
Au 0.7500 0.4286 0.0967
Au 0.2500 0.9286 0.4033
Au 0.7500 0.0714 0.5967
Au 0.2500 0.5714 0.9033
In 0.7500 0.0902 0.2154
In 0.2500 0.5902 0.2846
In 0.7500 0.4098 0.7154
In 0.2500 0.9098 0.7846
O 0.7500 0.2101 0.0565
O 0.2500 0.9274 0.1560
O 0.7500 0.6385 0.1686
O 0.2500 0.1385 0.3314
O 0.7500 0.4274 0.3440
O 0.2500 0.7101 0.4435
O 0.7500 0.2899 0.5565
O 0.2500 0.5726 0.6560
O 0.7500 0.8615 0.6686
O 0.2500 0.3615 0.8314
O 0.7500 0.0726 0.8440
O 0.2500 0.7899 0.9435
Pd 0.7500 0.8568 0.0482
Pd 0.2500 0.3568 0.4518
Pd 0.7500 0.6432 0.5482
Pd 0.2500 0.1432 0.9518



# 7
## InPtAuO3 (PBE-GGA)

Data for InPtAuO3 after structural relaxation.

Values from the calculation:
* total DFT energy (no corrections): -4.986 eV/atom

Lattice parameters (Å, degrees): 3.1889 7.4673 13.0827 90.00 90.00 90.00
Positions (direct):
Au 0.7500 0.3416 0.0143
Au 0.2500 0.8416 0.4857
Au 0.7500 0.1584 0.5143
Au 0.2500 0.6584 0.9857
In 0.2500 0.2937 0.2477
In 0.7500 0.7937 0.2523
In 0.2500 0.2063 0.7477
In 0.7500 0.7063 0.7523
O 0.2500 0.7839 0.1286
O 0.7500 0.4317 0.1605
O 0.7500 0.0733 0.1882
O 0.2500 0.5733 0.3118
O 0.2500 0.9317 0.3395
O 0.7500 0.2839 0.3714
O 0.2500 0.7161 0.6286
O 0.7500 0.0683 0.6605
O 0.7500 0.4267 0.6882
O 0.2500 0.9267 0.8118
O 0.2500 0.5683 0.8395
O 0.7500 0.2161 0.8714
Pt 0.2500 0.0426 0.0725
Pt 0.7500 0.5426 0.4275
Pt 0.2500 0.4574 0.5725
Pt 0.7500 0.9574 0.9275



# 8
## InPtAu3O4 (PBE-GGA)

Data for InPtAu3O4 after structural relaxation.

Values from the calculation:
* total DFT energy (no corrections): -4.033 eV/atom

Lattice parameters (Å, degrees): 5.3058 5.3058 5.3058 90.00 90.00 90.00
Positions (direct):
Au 0.5000 0.5000 0.0000
Au 0.5000 0.0000 0.5000
Au 0.0000 0.5000 0.5000
In 0.0000 0.0000 0.0000
O 0.2241 0.2241 0.2241
O 0.7759 0.7759 0.2241
O 0.7759 0.2241 0.7759
O 0.2241 0.7759 0.7759
Pt 0.5000 0.5000 0.5000